Entry 1:
VASP calculation (PBE) on a relaxed structure of SrBiS2N.

Cell lengths 5.559, 5.559, 4.648 Å; angles 90.00, 90.00, 90.00 degrees
Space group P4/mmm (No. 123)
Symmetry-distinct sites (fractional):
Sr 0.000 0.000 0.000 (multiplicity 1)
Bi 0.500 0.500 0.500 (multiplicity 1)
S 0.000 0.500 0.000 (multiplicity 2)
N 0.000 0.000 0.500 (multiplicity 1)

Results
Formation energy from raw total energies   0.67 eV/atom
Offset from the most stable computed form   0.757 eV per atom
Uncorrected energy   -3.76 eV/atom

Entry 2:
VASP calculation (PBE) on a relaxed structure of SmBP2O8.

Cell lengths 4.8700, 4.8700, 6.2927 Å; angles 90.00, 90.00, 120.00 degrees
Space group P-3m1 (No. 164)
Symmetry-distinct sites (fractional):
Sm 0.0000 0.0000 0.0000 (multiplicity 1)
B 0.0000 0.0000 0.5000 (multiplicity 1)
P 0.3333 0.6667 0.2652 (multiplicity 2)
O 0.1580 0.3161 0.3335 (multiplicity 6)
O 0.3333 0.6667 0.0195 (multiplicity 2)

Results
Formation energy from raw total energies   -2.23 eV/atom
Uncorrected energy   -7.39 eV/atom

Entry 3:
VASP calculation (PBE) on a relaxed structure of Bi2SCl.

Cell lengths 6.230, 6.243, 7.185 Å; angles 77.94, 78.06, 74.69 degrees
Space group P1 (No. 1)
Symmetry-distinct sites (fractional):
Bi 0.000 0.000 0.000 (multiplicity 1)
Bi 0.172 0.172 0.574 (multiplicity 1)
Bi 0.406 0.558 0.589 (multiplicity 1)
Bi 0.614 0.765 0.986 (multiplicity 1)
S 0.700 0.472 0.287 (multiplicity 1)
S 0.758 0.414 0.787 (multiplicity 1)
Cl 0.201 0.542 0.023 (multiplicity 1)
Cl 0.630 0.970 0.552 (multiplicity 1)

Results
Formation energy from raw total energies   -0.25 eV/atom
Offset from the most stable computed form   0.000 eV per atom
Uncorrected energy   -3.68 eV/atom

Entry 4:
VASP calculation (PBE) on a relaxed structure of Ce6GaPt3.

Cell lengths 10.5211, 10.5211, 16.0983 Å; angles 90.00, 90.00, 120.00 degrees
Space group R-3 (No. 148, hexagonal axes)
Symmetry-distinct sites (fractional):
Ce 0.0154 0.8505 0.3401 (multiplicity 18)
Ce 0.0443 0.2471 0.1436 (multiplicity 18)
Ga 0.0000 0.0000 0.0000 (multiplicity 3)
Ga 0.0000 0.0000 0.5000 (multiplicity 3)
Pt 0.0544 0.4443 0.6200 (multiplicity 18)

Results
Formation energy   -0.605 eV/atom
Uncorrected energy   -6.28 eV/atom

Entry 5:
VASP calculation (PBE) on a relaxed structure of InAuN2F.

Cell lengths 3.969, 3.969, 5.743 Å; angles 90.00, 90.00, 90.00 degrees
Space group P4/mmm (No. 123)
Symmetry-distinct sites (fractional):
In 0.000 0.000 0.000 (multiplicity 1)
Au 0.500 0.500 0.500 (multiplicity 1)
N 0.000 0.500 0.500 (multiplicity 2)
F 0.500 0.500 0.000 (multiplicity 1)

Results
Formation energy from raw total energies   0.91 eV/atom
Offset from the most stable computed form   0.000 eV per atom
Uncorrected energy   -4.00 eV/atom

Entry 6:
VASP calculation (PBE) on a relaxed structure of TiCrMo2.

Cell lengths 6.167, 6.167, 6.167 Å; angles 90.00, 90.00, 90.00 degrees
Space group Fm-3m (No. 225)
Symmetry-distinct sites (fractional):
Ti 0.000 0.000 0.000 (multiplicity 4)
Cr 0.000 0.000 0.500 (multiplicity 4)
Mo 0.250 0.250 0.250 (multiplicity 8)

Results
Formation energy   -0.030 eV/atom
Offset from the most stable computed form   0.014 eV per atom
Uncorrected energy   -9.83 eV/atom

Entry 7:
VASP calculation (PBE) on a relaxed structure of NdHoBeAg.

Cell lengths 7.202, 7.202, 7.202 Å; angles 90.00, 90.00, 90.00 degrees
Space group F-43m (No. 216)
Symmetry-distinct sites (fractional):
Nd 0.000 0.000 0.000 (multiplicity 4)
Ho 0.000 0.000 0.500 (multiplicity 4)
Be 0.250 0.250 0.750 (multiplicity 4)
Ag 0.250 0.250 0.250 (multiplicity 4)

Results
Formation energy   -0.020 eV/atom
Uncorrected energy   -4.00 eV/atom

Entry 8:
VASP calculation (PBE) on a relaxed structure of Ac2PtAu.

Cell lengths 6.314, 4.776, 8.340 Å; angles 90.00, 110.17, 90.00 degrees
Space group P2_1/m (No. 11)
Symmetry-distinct sites (fractional):
Ac 0.225 0.250 0.439 (multiplicity 2)
Ac 0.234 0.250 0.927 (multiplicity 2)
Pt 0.309 0.750 0.705 (multiplicity 2)
Au 0.320 0.750 0.206 (multiplicity 2)

Results
Formation energy   -0.990 eV/atom
Uncorrected energy   -5.37 eV/atom

Entry 9:
VASP calculation (PBE) on a relaxed structure of AlFeCuOs.

Cell lengths 5.948, 5.948, 5.948 Å; angles 90.00, 90.00, 90.00 degrees
Space group F-43m (No. 216)
Symmetry-distinct sites (fractional):
Al 0.000 0.000 0.000 (multiplicity 4)
Fe 0.000 0.000 0.500 (multiplicity 4)
Cu 0.250 0.250 0.750 (multiplicity 4)
Os 0.250 0.250 0.250 (multiplicity 4)

Results
Formation energy   -0.064 eV/atom
Uncorrected energy   -6.95 eV/atom

Entry 10:
VASP calculation (PBE) on a relaxed structure of Dy2HoTh3Te6.

Cell lengths 19.927, 4.239, 9.189 Å; angles 90.00, 111.04, 90.00 degrees
Space group C2/m (No. 12)
Symmetry-distinct sites (fractional):
Dy 0.167 0.000 0.333 (multiplicity 4)
Ho 0.000 0.500 0.000 (multiplicity 2)
Th 0.000 0.500 0.500 (multiplicity 2)
Th 0.167 0.000 0.833 (multiplicity 4)
Te 0.003 0.000 0.241 (multiplicity 4)
Te 0.163 0.500 0.090 (multiplicity 4)
Te 0.170 0.500 0.575 (multiplicity 4)

Results
Formation energy from raw total energies   -1.14 eV/atom
Uncorrected energy   -5.71 eV/atom

Entry 11:
VASP calculation (PBE) on a relaxed structure of LaTbPrTe3.

Cell lengths 8.739, 4.368, 11.138 Å; angles 90.00, 105.67, 90.00 degrees
Space group P2_1/m (No. 11)
Symmetry-distinct sites (fractional):
La 0.187 0.250 0.213 (multiplicity 2)
Tb 0.337 0.750 0.904 (multiplicity 2)
Pr 0.157 0.250 0.621 (multiplicity 2)
Te 0.092 0.250 0.896 (multiplicity 2)
Te 0.229 0.750 0.439 (multiplicity 2)
Te 0.473 0.750 0.192 (multiplicity 2)

Results
Formation energy from raw total energies   -1.33 eV/atom
Uncorrected energy   -5.29 eV/atom

Entry 12:
VASP calculation (PBE) on a relaxed structure of LaNd2SmIn.

Cell lengths 8.702, 11.892, 7.006 Å; angles 90.00, 90.00, 90.00 degrees
Space group Cmcm (No. 63)
Symmetry-distinct sites (fractional):
La 0.000 0.236 0.250 (multiplicity 4)
Nd 0.182 0.500 0.000 (multiplicity 8)
Sm 0.000 0.056 0.750 (multiplicity 4)
In 0.000 0.309 0.750 (multiplicity 4)

Results
Formation energy   0.108 eV/atom
Uncorrected energy   -4.28 eV/atom